P) # RbBaBe2 (PBE, relaxed)
data_RbBaBe2
_chemical_formula_sum 'Rb4 Ba4 Be8'
_symmetry_space_group_name_H-M 'I -4 2 d'
_symmetry_Int_Tables_number 122
_symmetry_space_group_name_Hall 'I -4 2bw'
_cell_length_a 8.9772
_cell_length_b 8.9772
_cell_length_c 7.4227
_cell_angle_alpha 90.00
_cell_angle_beta 90.00
_cell_angle_gamma 90.00
loop_
_atom_site_label
_atom_site_type_symbol
_atom_site_fract_x
_atom_site_fract_y
_atom_site_fract_z
Rb1 Rb 0.0000 0.0000 0.0000
Ba1 Ba 0.0000 0.0000 0.5000
Be1 Be 0.2386 0.2500 0.6250
# volume = 37.387 Å³/atom

Q) # RbBaBe2 (PBE, relaxed)
data_RbBaBe2
_chemical_formula_sum 'Rb4 Ba4 Be8'
_symmetry_space_group_name_H-M 'F m -3 m'
_symmetry_Int_Tables_number 225
_symmetry_space_group_name_Hall '-F 4 2 3'
_cell_length_a 8.0289
_cell_length_b 8.0289
_cell_length_c 8.0289
_cell_angle_alpha 90.00
_cell_angle_beta 90.00
_cell_angle_gamma 90.00
loop_
_atom_site_label
_atom_site_type_symbol
_atom_site_fract_x
_atom_site_fract_y
_atom_site_fract_z
Rb1 Rb 0.0000 0.0000 0.0000
Ba1 Ba 0.0000 0.0000 0.5000
Be1 Be 0.2500 0.2500 0.2500
# volume = 32.349 Å³/atom

The energy of each structure relative to the most stable one, in eV/atom, is as follows: P) 0.217; Q) 0.000.